The following is a PBE calculation of an optimized crystal structure of PmMgAl, from Alexandria.

Cell and atoms, written as CIF:
```
data_PmMgAl
_chemical_formula_sum 'Pm2 Mg2 Al2'
_cell_length_a 3.4237
_cell_length_b 3.4237
_cell_length_c 12.4616
_cell_angle_alpha 90.00
_cell_angle_beta 90.00
_cell_angle_gamma 90.00
_space_group_name_H-M_alt 'I 4 m m'
_space_group_IT_number 107
_space_group_name_Hall 'I 4 -2'
loop_
_atom_site_label
_atom_site_fract_x
_atom_site_fract_y
_atom_site_fract_z
_atom_site_occupancy
Pm1 0.0000 0.0000 0.0000 1
Mg1 0.0000 0.0000 0.7008 1
Al1 0.0000 0.0000 0.3367 1
```

Formation enthalpy at 0 K in meV/atom: -171
Fermi-level density of states in states/eV per atom: 0.58
M_tot in μB per formula unit: 0.00
Energy above the most stable polymorph in this dataset in eV/f.u.: 0.44

The following is a PBE calculation of an optimized crystal structure of Ac4Te2PN2, from Alexandria.

Cell and atoms, written as CIF:
```
data_Ac4Te2PN2
_chemical_formula_sum 'Ac8 Te4 P2 N4'
_cell_length_a 16.5874
_cell_length_b 4.3599
_cell_length_c 7.9645
_cell_angle_alpha 90.00
_cell_angle_beta 110.56
_cell_angle_gamma 90.00
_space_group_name_H-M_alt 'C 1 2/m 1'
_space_group_IT_number 12
_space_group_name_Hall '-C 2y'
loop_
_atom_site_label
_atom_site_fract_x
_atom_site_fract_y
_atom_site_fract_z
_atom_site_occupancy
Ac1 0.0346 0.0000 0.2663 1
Ac2 0.2113 0.5000 0.6590 1
Te1 0.1289 0.5000 0.0314 1
P1 0.0000 0.5000 0.5000 1
N1 0.1753 0.0000 0.4815 1
```

Fermi-level density of states in states/eV per atom: 0.89
M_tot in μB per formula unit: 0.00
Formation energy (no corrections) in meV/atom: -1374

The following is a PBE calculation of an optimized crystal structure of BeAl2Tl, from Alexandria.

Cell and atoms, written as CIF:
```
data_BeAl2Tl
_chemical_formula_sum 'Be4 Al8 Tl4'
_cell_length_a 6.7235
_cell_length_b 6.7235
_cell_length_c 6.7235
_cell_angle_alpha 90.00
_cell_angle_beta 90.00
_cell_angle_gamma 90.00
_space_group_name_H-M_alt 'F m -3 m'
_space_group_IT_number 225
_space_group_name_Hall '-F 4 2 3'
loop_
_atom_site_label
_atom_site_fract_x
_atom_site_fract_y
_atom_site_fract_z
_atom_site_occupancy
Be1 0.0000 0.0000 0.0000 1
Al1 0.2500 0.2500 0.2500 1
Tl1 0.0000 0.0000 0.5000 1
```

Formation enthalpy at 0 K in meV/atom: 611
Fermi-level density of states in states/eV per atom: 0.56
M_tot in μB per formula unit: 0.00
Energy above the most stable polymorph in this dataset in eV/f.u.: 1.11

The following is a PBE calculation of an optimized crystal structure of Ce3NdGa8, from Alexandria.

Cell and atoms, written as CIF:
```
data_Ce3NdGa8
_chemical_formula_sum 'Ce9 Nd3 Ga24'
_cell_length_a 5.5978
_cell_length_b 5.5978
_cell_length_c 27.4156
_cell_angle_alpha 90.00
_cell_angle_beta 90.00
_cell_angle_gamma 120.00
_space_group_name_H-M_alt 'R 3 m'
_space_group_IT_number 160
_space_group_name_Hall 'R 3 -2"'
loop_
_atom_site_label
_atom_site_fract_x
_atom_site_fract_y
_atom_site_fract_z
_atom_site_occupancy
Ce1 0.0000 0.0000 0.0000 1
Ce2 0.0000 0.0000 0.1223 1
Ce3 0.0000 0.0000 0.6268 1
Nd1 0.0000 0.0000 0.4998 1
Ga1 0.0000 0.0000 0.3121 1
Ga2 0.0000 0.0000 0.8122 1
Ga3 0.9999 0.4999 0.0625 1
Ga4 0.1671 0.3341 0.8955 1
```

Formation enthalpy at 0 K in meV/atom: -536
Fermi-level density of states in states/eV per atom: 1.57
M_tot in μB per formula unit: 2.97

The following is a PBE calculation of an optimized crystal structure of CrTc4, from Alexandria.

Cell and atoms, written as CIF:
```
data_CrTc4
_chemical_formula_sum 'Cr2 Tc8'
_cell_length_a 4.1176
_cell_length_b 4.1176
_cell_length_c 10.3570
_cell_angle_alpha 90.00
_cell_angle_beta 90.00
_cell_angle_gamma 90.00
_space_group_name_H-M_alt 'I 4/m m m'
_space_group_IT_number 139
_space_group_name_Hall '-I 4 2'
loop_
_atom_site_label
_atom_site_fract_x
_atom_site_fract_y
_atom_site_fract_z
_atom_site_occupancy
Cr1 0.0000 0.0000 0.0000 1
Tc1 0.0000 0.0000 0.3844 1
Tc2 0.0000 0.5000 0.2500 1
```

Formation enthalpy at 0 K in meV/atom: 663
Fermi-level density of states in states/eV per atom: 1.05
M_tot in μB per formula unit: 3.87
Energy above the most stable polymorph in this dataset in eV/f.u.: 2.65

The following is a PBE calculation of an optimized crystal structure of NaSb3, from Alexandria.

Cell and atoms, written as CIF:
```
data_NaSb3
_chemical_formula_sum 'Na1 Sb3'
_cell_length_a 3.9990
_cell_length_b 5.5771
_cell_length_c 5.2990
_cell_angle_alpha 90.00
_cell_angle_beta 90.00
_cell_angle_gamma 90.00
_space_group_name_H-M_alt 'P m m 2'
_space_group_IT_number 25
_space_group_name_Hall 'P 2 -2'
loop_
_atom_site_label
_atom_site_fract_x
_atom_site_fract_y
_atom_site_fract_z
_atom_site_occupancy
Na1 0.0000 0.0000 0.0000 1
Sb1 0.0000 0.5000 0.6258 1
Sb2 0.5000 0.0000 0.5014 1
Sb3 0.5000 0.5000 0.2203 1
```

Fermi-level density of states in states/eV per atom: 0.44
M_tot in μB per formula unit: 0.00
Formation energy (no corrections) in meV/atom: -29